# Tb5TlGa2 (PBE, relaxed)
data_Tb5TlGa2
_chemical_formula_sum 'Tb10 Tl2 Ga4'
_symmetry_space_group_name_H-M 'P 1'
_symmetry_Int_Tables_number 1
_cell_length_a 9.079
_cell_length_b 9.079
_cell_length_c 9.079
_cell_angle_alpha 129.34
_cell_angle_beta 129.34
_cell_angle_gamma 74.46
loop_
_symmetry_equiv_pos_as_xyz
'x,y,z'
loop_
_atom_site_label
_atom_site_type_symbol
_atom_site_fract_x
_atom_site_fract_y
_atom_site_fract_z
_atom_site_occupancy
Tb1 Tb 0.500 0.500 0.000 1
Tb2 Tb 0.976 0.811 0.500 1
Tb3 Tb 0.689 0.524 0.500 1
Tb4 Tb 0.524 0.024 0.835 1
Tb5 Tb 0.189 0.689 0.165 1
Tb6 Tb 0.311 0.476 0.500 1
Tb7 Tb 0.476 0.976 0.165 1
Tb8 Tb 0.024 0.189 0.500 1
Tb9 Tb 0.000 0.000 0.000 1
Tb10 Tb 0.811 0.311 0.835 1
Tl1 Tl 0.750 0.750 0.000 1
Tl2 Tl 0.250 0.250 0.000 1
Ga1 Ga 0.124 0.624 0.748 1
Ga2 Ga 0.624 0.876 0.500 1
Ga3 Ga 0.376 0.124 0.500 1
Ga4 Ga 0.876 0.376 0.252 1
# * total DFT energy (no corrections): -70.29 eV/cell

***

# GdDy2In3CuPd2 (PBE, relaxed)
data_GdDy2In3CuPd2
_chemical_formula_sum 'Gd1 Dy2 In3 Cu1 Pd2'
_symmetry_space_group_name_H-M 'P 1'
_symmetry_Int_Tables_number 1
_cell_length_a 3.866
_cell_length_b 7.669
_cell_length_c 7.669
_cell_angle_alpha 120.06
_cell_angle_beta 90.00
_cell_angle_gamma 90.00
loop_
_symmetry_equiv_pos_as_xyz
'x,y,z'
loop_
_atom_site_label
_atom_site_type_symbol
_atom_site_fract_x
_atom_site_fract_y
_atom_site_fract_z
_atom_site_occupancy
In1 In 0.500 0.252 0.999 1
In2 In 0.500 0.749 0.749 1
In3 In 0.500 0.999 0.252 1
Pd1 Pd 0.500 0.668 0.333 1
Pd2 Pd 0.500 0.333 0.668 1
Gd1 Gd 0.000 0.410 0.410 1
Dy1 Dy 0.000 0.590 0.000 1
Dy2 Dy 0.000 0.000 0.590 1
Cu1 Cu 0.000 0.999 0.999 1
# * total DFT energy (no corrections): -42.46 eV/cell

***

# Na4CdGe2S7 (PBE, relaxed)
data_Na4CdGe2S7
_chemical_formula_sum 'Na16 Cd4 Ge8 S28'
_symmetry_space_group_name_H-M 'P 1'
_symmetry_Int_Tables_number 1
_cell_length_a 7.131
_cell_length_b 12.012
_cell_length_c 15.593
_cell_angle_alpha 90.00
_cell_angle_beta 90.94
_cell_angle_gamma 90.00
loop_
_symmetry_equiv_pos_as_xyz
'x,y,z'
loop_
_atom_site_label
_atom_site_type_symbol
_atom_site_fract_x
_atom_site_fract_y
_atom_site_fract_z
_atom_site_occupancy
Ge1 Ge 0.124 0.385 0.351 1
Ge2 Ge 0.585 0.910 0.346 1
Ge3 Ge 0.876 0.885 0.149 1
Ge4 Ge 0.415 0.090 0.654 1
Ge5 Ge 0.876 0.615 0.649 1
Ge6 Ge 0.124 0.115 0.851 1
Ge7 Ge 0.415 0.410 0.154 1
Ge8 Ge 0.585 0.590 0.846 1
S1 S 0.237 0.293 0.234 1
S2 S 0.237 0.207 0.734 1
S3 S 0.672 0.620 0.543 1
S4 S 0.328 0.812 0.382 1
S5 S 0.672 0.188 0.618 1
S6 S 0.236 0.452 0.043 1
S7 S 0.328 0.120 0.957 1
S8 S 0.328 0.380 0.457 1
S9 S 0.470 0.060 0.282 1
S10 S 0.470 0.440 0.782 1
S11 S 0.001 0.950 0.817 1
S12 S 0.763 0.707 0.766 1
S13 S 0.328 0.688 0.882 1
S14 S 0.120 0.728 0.617 1
S15 S 0.880 0.228 0.883 1
S16 S 0.530 0.560 0.218 1
S17 S 0.001 0.550 0.317 1
S18 S 0.763 0.793 0.266 1
S19 S 0.764 0.952 0.457 1
S20 S 0.764 0.548 0.957 1
S21 S 0.880 0.272 0.383 1
S22 S 0.672 0.312 0.118 1
S23 S 0.999 0.450 0.683 1
S24 S 0.236 0.048 0.543 1
S25 S 0.530 0.940 0.718 1
S26 S 0.999 0.050 0.183 1
S27 S 0.672 0.880 0.043 1
S28 S 0.120 0.772 0.117 1
Na1 Na 0.902 0.518 0.137 1
Na2 Na 0.950 0.761 0.946 1
Na3 Na 0.350 0.979 0.110 1
Na4 Na 0.650 0.021 0.890 1
Na5 Na 0.950 0.739 0.446 1
Na6 Na 0.477 0.832 0.551 1
Na7 Na 0.523 0.332 0.949 1
Na8 Na 0.050 0.239 0.054 1
Na9 Na 0.050 0.261 0.554 1
Na10 Na 0.523 0.168 0.449 1
Na11 Na 0.650 0.479 0.390 1
Na12 Na 0.098 0.018 0.363 1
Na13 Na 0.902 0.982 0.637 1
Na14 Na 0.098 0.482 0.863 1
Na15 Na 0.477 0.668 0.051 1
Na16 Na 0.350 0.521 0.610 1
Cd1 Cd 0.748 0.183 0.243 1
Cd2 Cd 0.252 0.683 0.257 1
Cd3 Cd 0.252 0.817 0.757 1
Cd4 Cd 0.748 0.317 0.743 1
# * total DFT energy (no corrections): -222.90 eV/cell

***

# UTcW (PBE, relaxed)
data_UTcW
_chemical_formula_sum 'U1 Tc1 W1'
_symmetry_space_group_name_H-M 'P 1'
_symmetry_Int_Tables_number 1
_cell_length_a 4.389
_cell_length_b 4.389
_cell_length_c 4.389
_cell_angle_alpha 60.00
_cell_angle_beta 60.00
_cell_angle_gamma 60.00
loop_
_symmetry_equiv_pos_as_xyz
'x,y,z'
loop_
_atom_site_label
_atom_site_type_symbol
_atom_site_fract_x
_atom_site_fract_y
_atom_site_fract_z
_atom_site_occupancy
Tc1 Tc 0.250 0.250 0.250 1
W1 W 0.750 0.750 0.750 1
U1 U 0.000 0.000 0.000 1
# * ΔE to the lowest computed polymorph: 240 meV per atom
# * formation energy from the elements: 0.96 eV per atom

***

# RbCuMoPt (PBE, relaxed)
data_RbCuMoPt
_chemical_formula_sum 'Rb1 Cu1 Mo1 Pt1'
_symmetry_space_group_name_H-M 'P 1'
_symmetry_Int_Tables_number 1
_cell_length_a 4.890
_cell_length_b 4.890
_cell_length_c 4.890
_cell_angle_alpha 60.00
_cell_angle_beta 60.00
_cell_angle_gamma 60.00
loop_
_symmetry_equiv_pos_as_xyz
'x,y,z'
loop_
_atom_site_label
_atom_site_type_symbol
_atom_site_fract_x
_atom_site_fract_y
_atom_site_fract_z
_atom_site_occupancy
Pt1 Pt 0.250 0.250 0.250 1
Mo1 Mo 0.000 0.000 0.000 1
Rb1 Rb 0.500 0.500 0.500 1
Cu1 Cu 0.750 0.750 0.750 1
# * ΔE to the lowest computed polymorph: 43 meV per atom

***

# SmB4Os (PBE, relaxed)
data_SmB4Os
_chemical_formula_sum 'Sm1 B4 Os1'
_symmetry_space_group_name_H-M 'P 1'
_symmetry_Int_Tables_number 1
_cell_length_a 4.830
_cell_length_b 4.830
_cell_length_c 4.830
_cell_angle_alpha 141.52
_cell_angle_beta 112.24
_cell_angle_gamma 80.71
loop_
_symmetry_equiv_pos_as_xyz
'x,y,z'
loop_
_atom_site_label
_atom_site_type_symbol
_atom_site_fract_x
_atom_site_fract_y
_atom_site_fract_z
_atom_site_occupancy
Os1 Os 0.000 0.000 0.000 1
B1 B 0.586 0.251 0.335 1
B2 B 0.414 0.749 0.665 1
B3 B 0.916 0.251 0.665 1
B4 B 0.084 0.749 0.335 1
Sm1 Sm 0.500 0.500 0.000 1
# * ΔE to the lowest computed polymorph: 81 meV per atom

***

# BiMoAu2 (PBE, relaxed)
data_BiMoAu2
_chemical_formula_sum 'Bi1 Mo1 Au2'
_symmetry_space_group_name_H-M 'P 1'
_symmetry_Int_Tables_number 1
_cell_length_a 4.801
_cell_length_b 4.801
_cell_length_c 4.801
_cell_angle_alpha 60.00
_cell_angle_beta 60.00
_cell_angle_gamma 60.00
loop_
_symmetry_equiv_pos_as_xyz
'x,y,z'
loop_
_atom_site_label
_atom_site_type_symbol
_atom_site_fract_x
_atom_site_fract_y
_atom_site_fract_z
_atom_site_occupancy
Bi1 Bi 0.500 0.500 0.500 1
Mo1 Mo 0.250 0.250 0.250 1
Au1 Au 0.750 0.750 0.750 1
Au2 Au 0.000 0.000 0.000 1
# * total DFT energy (no corrections): -19.29 eV/cell

***

# LiZr2Be (PBE, relaxed)
data_LiZr2Be
_chemical_formula_sum 'Li1 Zr2 Be1'
_symmetry_space_group_name_H-M 'P 1'
_symmetry_Int_Tables_number 1
_cell_length_a 4.705
_cell_length_b 4.705
_cell_length_c 4.705
_cell_angle_alpha 60.00
_cell_angle_beta 60.00
_cell_angle_gamma 60.00
loop_
_symmetry_equiv_pos_as_xyz
'x,y,z'
loop_
_atom_site_label
_atom_site_type_symbol
_atom_site_fract_x
_atom_site_fract_y
_atom_site_fract_z
_atom_site_occupancy
Be1 Be 0.250 0.250 0.250 1
Zr1 Zr 0.750 0.750 0.750 1
Zr2 Zr 0.000 0.000 0.000 1
Li1 Li 0.500 0.500 0.500 1
# * total DFT energy (no corrections): -20.57 eV/cell

***

# GdTlB4 (PBE, relaxed)
data_GdTlB4
_chemical_formula_sum 'Gd1 Tl1 B4'
_symmetry_space_group_name_H-M 'P 1'
_symmetry_Int_Tables_number 1
_cell_length_a 3.214
_cell_length_b 3.214
_cell_length_c 9.133
_cell_angle_alpha 90.00
_cell_angle_beta 90.00
_cell_angle_gamma 120.00
loop_
_symmetry_equiv_pos_as_xyz
'x,y,z'
loop_
_atom_site_label
_atom_site_type_symbol
_atom_site_fract_x
_atom_site_fract_y
_atom_site_fract_z
_atom_site_occupancy
B1 B 0.667 0.333 0.213 1
B2 B 0.333 0.667 0.787 1
B3 B 0.667 0.333 0.787 1
B4 B 0.333 0.667 0.213 1
Tl1 Tl 0.000 0.000 0.500 1
Gd1 Gd 0.000 0.000 0.000 1
# * ΔE to the lowest computed polymorph: 132 meV per atom

***

# AcDyAs (PBE, relaxed)
data_AcDyAs
_chemical_formula_sum 'Ac1 Dy1 As1'
_symmetry_space_group_name_H-M 'P 1'
_symmetry_Int_Tables_number 1
_cell_length_a 5.096
_cell_length_b 5.096
_cell_length_c 5.096
_cell_angle_alpha 60.00
_cell_angle_beta 60.00
_cell_angle_gamma 60.00
loop_
_symmetry_equiv_pos_as_xyz
'x,y,z'
loop_
_atom_site_label
_atom_site_type_symbol
_atom_site_fract_x
_atom_site_fract_y
_atom_site_fract_z
_atom_site_occupancy
Dy1 Dy 0.750 0.750 0.750 1
Ac1 Ac 0.250 0.250 0.250 1
As1 As 0.000 0.000 0.000 1
# * ΔE to the lowest computed polymorph: 0 meV per atom

***

# Ho2CoNi (PBE, relaxed)
data_Ho2CoNi
_chemical_formula_sum 'Ho4 Co2 Ni2'
_symmetry_space_group_name_H-M 'P 1'
_symmetry_Int_Tables_number 1
_cell_length_a 3.946
_cell_length_b 7.147
_cell_length_c 5.511
_cell_angle_alpha 90.00
_cell_angle_beta 90.00
_cell_angle_gamma 90.00
loop_
_symmetry_equiv_pos_as_xyz
'x,y,z'
loop_
_atom_site_label
_atom_site_type_symbol
_atom_site_fract_x
_atom_site_fract_y
_atom_site_fract_z
_atom_site_occupancy
Ho1 Ho 0.000 0.424 0.871 1
Ho2 Ho 0.500 0.576 0.371 1
Ho3 Ho 0.500 0.067 0.130 1
Ho4 Ho 0.000 0.933 0.630 1
Co1 Co 0.000 0.781 0.121 1
Co2 Co 0.500 0.219 0.621 1
Ni1 Ni 0.500 0.713 0.878 1
Ni2 Ni 0.000 0.287 0.378 1
# * formation energy from the elements: -0.34 eV per atom

***

# Zn2AgPt (PBE, relaxed)
data_Zn2AgPt
_chemical_formula_sum 'Zn2 Ag1 Pt1'
_symmetry_space_group_name_H-M 'P 1'
_symmetry_Int_Tables_number 1
_cell_length_a 4.446
_cell_length_b 4.446
_cell_length_c 4.446
_cell_angle_alpha 60.00
_cell_angle_beta 60.00
_cell_angle_gamma 60.00
loop_
_symmetry_equiv_pos_as_xyz
'x,y,z'
loop_
_atom_site_label
_atom_site_type_symbol
_atom_site_fract_x
_atom_site_fract_y
_atom_site_fract_z
_atom_site_occupancy
Pt1 Pt 0.750 0.750 0.750 1
Zn1 Zn 0.000 0.000 0.000 1
Zn2 Zn 0.250 0.250 0.250 1
Ag1 Ag 0.500 0.500 0.500 1
# * formation energy from the elements: -0.17 eV per atom